# V4O7 | Alexandria | PBE+U | relaxed
# E (eV for the cell shown): -166.42
# SG: P-1, No. 2
# Magnetic moment (μB/atom): 0.452
data_V4O7
_cell_length_a 6.347
_cell_length_b 8.316
_cell_length_c 8.576
_cell_angle_alpha 91.33
_cell_angle_beta 89.05
_cell_angle_gamma 118.72
_space_group_name_H-M_alt 'P 1'
_space_group_IT_number 1
loop_
_space_group_symop_operation_xyz
'x,y,z'
loop_
_atom_site_label
_atom_site_type_symbol
_atom_site_fract_x
_atom_site_fract_y
_atom_site_fract_z
_atom_site_occupancy
O1 O 0.750 0.991 0.747 1
O2 O 0.387 0.616 0.632 1
O3 O 0.829 0.338 0.017 1
O4 O 0.250 0.009 0.253 1
O5 O 0.330 0.356 0.078 1
O6 O 0.262 0.679 0.274 1
O7 O 0.670 0.644 0.922 1
O8 O 0.123 0.323 0.348 1
O9 O 0.353 0.030 0.927 1
O10 O 0.647 0.970 0.073 1
O11 O 0.738 0.321 0.726 1
O12 O 0.613 0.384 0.368 1
O13 O 0.877 0.677 0.652 1
O14 O 0.171 0.662 0.983 1
V1 V 0.332 0.247 0.252 1
V2 V 0.229 0.551 0.453 1
V3 V 0.870 0.538 0.871 1
V4 V 0.130 0.462 0.129 1
V5 V 0.668 0.753 0.748 1
V6 V 0.655 0.122 0.890 1
V7 V 0.771 0.449 0.547 1
V8 V 0.345 0.878 0.110 1